# 1
This record from the Alexandria database describes a geometry-optimized CaMgTl2 structure. The functional is GGA-PBE.

Summary:
ΔH_f (0 K) ... -143.1 meV/atom
Energy above the lowest structure with this stoichiometry ... 136 meV/atom

Lattice parameters (Å, degrees): 6.547 3.783 9.571 90.00 103.12 90.00
Space group Cm (No. 8)
Inequivalent atoms, fractional coordinates:
Ca: 0.000 0.000 0.000
Mg: 0.334 0.500 0.502
Tl: 0.077 0.500 0.734
Tl: 0.424 0.000 0.269



# 2
This record from the Alexandria database describes a geometry-optimized CaMgTl14 structure. The functional is GGA-PBE.

Summary:
ΔH_f (0 K) ... -46.1 meV/atom

Lattice parameters (Å, degrees): 11.046 7.822 11.068 90.00 90.00 90.00
Space group Amm2 (No. 38)
Inequivalent atoms, fractional coordinates:
Ca: 0.000 0.000 0.000
Mg: 0.000 0.000 0.469
Tl: 0.000 0.222 0.736
Tl: 0.239 0.000 0.264
Tl: 0.241 0.225 0.528
Tl: 0.259 0.000 0.793
Tl: 0.500 0.000 0.015
Tl: 0.500 0.000 0.520
Tl: 0.500 0.240 0.266



# 3
This record from the Alexandria database describes a geometry-optimized Ca4Mg2Tl structure. The functional is GGA-PBE.

Summary:
ΔH_f (0 K) ... -95.4 meV/atom

Lattice parameters (Å, degrees): 5.5171 5.5171 27.1288 90.00 90.00 120.00
Space group R-3m (No. 166, hexagonal axes)
Inequivalent atoms, fractional coordinates:
Ca: 0.0000 0.0000 0.1235
Ca: 0.0000 0.0000 0.3742
Mg: 0.0000 0.0000 0.2472
Tl: 0.0000 0.0000 0.5000